1.
Entry from Alexandria: a relaxed structure of LaSm2Tl2 (PBE-GGA).

a b c (Å): 5.2672 5.2672 13.0998
angles (deg): 90.00 90.00 120.00
Space group P6_3/mmc (No. 194)
Asymmetric unit:
La: 0.0000 0.0000 0.2500 (multiplicity 2)
Sm: 0.0000 0.0000 0.0000 (multiplicity 2)
Sm: 0.3333 0.6667 0.2500 (multiplicity 2)
Tl: 0.3333 0.6667 0.6259 (multiplicity 4)

Results
For the offset from the most stable computed form, the calculation gives 166.5 meV/atom. The crystal system is hexagonal. The calculation puts the formation energy at -43.8 meV per atom. The value obtained for the magnetization is 0.788 μB/cell.

***

2.
Entry from Alexandria: a relaxed structure of LaSm4Tl (PBE-GGA).

a b c (Å): 3.698 3.698 14.463
angles (deg): 90.00 90.00 90.00
Space group P4/mmm (No. 123)
Asymmetric unit:
La: 0.000 0.000 0.000 (multiplicity 1)
Sm: 0.000 0.000 0.354 (multiplicity 2)
Sm: 0.500 0.500 0.180 (multiplicity 2)
Tl: 0.500 0.500 0.500 (multiplicity 1)

Results
For the offset from the most stable computed form, the calculation gives 0.0 meV/atom. The crystal system is tetragonal. The calculation puts the formation energy at -101.8 meV per atom. The value obtained for the magnetization is 0.000 μB/cell.

***

3.
Entry from Alexandria: a relaxed structure of La2SmTl2 (PBE-GGA).

a b c (Å): 5.083 7.345 8.717
angles (deg): 90.00 90.00 90.00
Space group Immm (No. 71)
Asymmetric unit:
La: 0.000 0.000 0.186 (multiplicity 4)
Sm: 0.000 0.500 0.000 (multiplicity 2)
Tl: 0.000 0.280 0.500 (multiplicity 4)

Results
For the offset from the most stable computed form, the calculation gives 0.0 meV/atom. The crystal system is orthorhombic. The calculation puts the formation energy at -318.6 meV per atom. The value obtained for the magnetization is 0.000 μB/cell.

***

4.
Entry from Alexandria: a relaxed structure of La2Sm7Tl2 (PBE-GGA).

a b c (Å): 9.112 9.577 8.747
angles (deg): 90.00 105.68 90.00
Space group C2/m (No. 12)
Asymmetric unit:
La: 0.000 0.180 0.000 (multiplicity 4)
Sm: 0.000 0.000 0.500 (multiplicity 2)
Sm: 0.180 0.302 0.665 (multiplicity 8)
Sm: 0.190 0.500 0.017 (multiplicity 4)
Tl: 0.119 0.500 0.344 (multiplicity 4)

Results
The crystal system is monoclinic. The calculation puts the formation energy at 2.6 meV per atom. The value obtained for the magnetization is 0.000 μB/cell.

***

5.
Entry from Alexandria: a relaxed structure of LaSm4Tl2 (PBE-GGA).

a b c (Å): 8.266 6.756 8.942
angles (deg): 90.00 115.93 90.00
Space group P2_1/m (No. 11)
Asymmetric unit:
La: 0.104 0.250 0.343 (multiplicity 2)
Sm: 0.182 0.750 0.084 (multiplicity 2)
Sm: 0.342 0.004 0.773 (multiplicity 4)
Sm: 0.459 0.750 0.496 (multiplicity 2)
Tl: 0.046 0.750 0.380 (multiplicity 2)
Tl: 0.268 0.250 0.064 (multiplicity 2)

Results
For the offset from the most stable computed form, the calculation gives 0.0 meV/atom. The crystal system is monoclinic. The calculation puts the formation energy at -135.3 meV per atom. The value obtained for the magnetization is 0.000 μB/cell.

***

6.
Entry from Alexandria: a relaxed structure of La2SmTmTl2 (PBE-GGA).

a b c (Å): 5.133 10.273 7.036
angles (deg): 90.00 90.00 90.00
Space group Pmc2_1 (No. 26)
Asymmetric unit:
La: 0.000 0.063 0.000 (multiplicity 2)
La: 0.500 0.175 0.232 (multiplicity 2)
Sm: 0.500 0.455 0.878 (multiplicity 2)
Tm: 0.000 0.306 0.583 (multiplicity 2)
Tl: 0.000 0.390 0.143 (multiplicity 2)
Tl: 0.500 0.151 0.711 (multiplicity 2)

Results
The crystal system is orthorhombic. The calculation puts the formation energy at -285.3 meV per atom. The value obtained for the magnetization is 0.000 μB/cell.

***

7.
Entry from Alexandria: a relaxed structure of LaSmYTl (PBE-GGA).

a b c (Å): 4.878 4.912 5.103
angles (deg): 90.00 90.00 90.00
Space group Pmmm (No. 47)
Asymmetric unit:
La: 0.000 0.000 0.000 (multiplicity 1)
Sm: 0.500 0.500 0.000 (multiplicity 1)
Y: 0.500 0.000 0.500 (multiplicity 1)
Tl: 0.000 0.500 0.500 (multiplicity 1)

Results
For the offset from the most stable computed form, the calculation gives 0.0 meV/atom. The crystal system is orthorhombic. The calculation puts the formation energy at -201.4 meV per atom. The value obtained for the magnetization is 0.000 μB/cell.

***

8.
Entry from Alexandria: a relaxed structure of LaSmYTl (PBE-GGA).

a b c (Å): 7.950 7.950 7.950
angles (deg): 90.00 90.00 90.00
Space group F-43m (No. 216)
Asymmetric unit:
La: 0.000 0.000 0.000 (multiplicity 4)
Sm: 0.000 0.000 0.500 (multiplicity 4)
Y: 0.250 0.250 0.250 (multiplicity 4)
Tl: 0.250 0.250 0.750 (multiplicity 4)

Results
For the offset from the most stable computed form, the calculation gives 132.8 meV/atom. The crystal system is cubic. The calculation puts the formation energy at -68.6 meV per atom. The value obtained for the magnetization is 5.179 μB/cell.

***

9.
Entry from Alexandria: a relaxed structure of LaSmTlZn (PBE-GGA).

a b c (Å): 7.669 7.669 7.669
angles (deg): 90.00 90.00 90.00
Space group F-43m (No. 216)
Asymmetric unit:
La: 0.000 0.000 0.000 (multiplicity 4)
Sm: 0.000 0.000 0.500 (multiplicity 4)
Tl: 0.250 0.250 0.750 (multiplicity 4)
Zn: 0.250 0.250 0.250 (multiplicity 4)

Results
For the offset from the most stable computed form, the calculation gives 25.0 meV/atom. The crystal system is cubic. The calculation puts the formation energy at -336.5 meV per atom. The value obtained for the magnetization is 0.007 μB/cell.

***

10.
Entry from Alexandria: a relaxed structure of LaSmTlZn (PBE-GGA).

a b c (Å): 3.782 3.782 7.764
angles (deg): 90.00 90.00 90.00
Space group P4mm (No. 99)
Asymmetric unit:
La: 0.000 0.000 0.000 (multiplicity 1)
Sm: 0.000 0.000 0.546 (multiplicity 1)
Tl: 0.500 0.500 0.285 (multiplicity 1)
Zn: 0.500 0.500 0.756 (multiplicity 1)

Results
For the offset from the most stable computed form, the calculation gives 0.0 meV/atom. The crystal system is tetragonal. The calculation puts the formation energy at -361.4 meV per atom. The value obtained for the magnetization is 0.000 μB/cell.

***

11.
Entry from Alexandria: a relaxed structure of LaSm2Tl2Zn2 (PBE-GGA).

a b c (Å): 4.8240 4.8240 28.2166
angles (deg): 90.00 90.00 120.00
Space group R-3m (No. 166, hexagonal axes)
Asymmetric unit:
La: 0.0000 0.0000 0.0000 (multiplicity 3)
Sm: 0.0000 0.0000 0.1306 (multiplicity 6)
Tl: 0.0000 0.0000 0.2644 (multiplicity 6)
Zn: 0.0000 0.0000 0.4190 (multiplicity 6)

Results
The crystal system is trigonal. The calculation puts the formation energy at -212.9 meV per atom. The value obtained for the magnetization is 0.000 μB/cell.

***

12.
Entry from Alexandria: a relaxed structure of La4Sm5Tm3 (PBE-GGA).

a b c (Å): 16.458 6.011 9.503
angles (deg): 90.00 117.21 90.00
Space group C2/m (No. 12)
Asymmetric unit:
La: 0.085 0.000 0.443 (multiplicity 4)
La: 0.218 0.000 0.877 (multiplicity 4)
Sm: 0.000 0.000 0.000 (multiplicity 2)
Sm: 0.073 0.500 0.706 (multiplicity 4)
Sm: 0.171 0.500 0.387 (multiplicity 4)
Tm: 0.000 0.500 0.000 (multiplicity 2)
Tm: 0.211 0.000 0.230 (multiplicity 4)

Results
The crystal system is monoclinic. The calculation puts the formation energy at 210.3 meV per atom. The value obtained for the magnetization is 0.001 μB/cell.

***

- What is the magnetization in the first record?
  0.788 μB/cell